Density functional theory data (GGA-PBE) for CsSb2TeCl after structural relaxation.

CIF file:
```
data_CsSb2TeCl
_chemical_formula_sum 'Cs1 Sb2 Te1 Cl1'
_cell_length_a 5.5357
_cell_length_b 5.5357
_cell_length_c 6.0528
_cell_angle_alpha 90.00
_cell_angle_beta 90.00
_cell_angle_gamma 90.00
_space_group_name_H-M_alt 'P 4/m m m'
_space_group_IT_number 123
_space_group_name_Hall '-P 4 2'
loop_
_atom_site_label
_atom_site_fract_x
_atom_site_fract_y
_atom_site_fract_z
Cs1 0.0000 0.0000 0.0000
Sb1 0.0000 0.5000 0.5000
Te1 0.5000 0.5000 0.0000
Cl1 0.5000 0.5000 0.5000
```

Summary:
Uncorrected energy, eV/cell: -12.8
Volume, Å³ per atom: 37.10
Offset from the most stable computed form, eV/f.u.: 0.000
Raw formation energy, eV per atom: 0.250